DFT (PBE) results for SrGdTl4 after structural relaxation.

abc: 6.3797 6.3797 6.3797
angles: 60.00 60.00 60.00
With the nearest neighbours (Å) after each atom.
Fractional positions:
Sr: 0.2500 0.2500 0.2500  12 Tl 3.74, 4 Gd 3.91
Tl: 0.6254 0.6254 0.1239  6 Tl 3.18-3.20
Tl: 0.6254 0.1239 0.6254  6 Tl 3.18-3.20
Tl: 0.6254 0.6254 0.6254  6 Tl 3.18-3.20
Tl: 0.1239 0.6254 0.6254  6 Tl 3.18-3.20
Gd: 0.0000 0.0000 0.0000  12 Tl 3.74, 4 Sr 3.91

Results
E_tot, eV/atom: -4.35
ρ, g cm⁻³: 9.61
Total moment, μB/atom: 1.3154
Crystal system: cubic
Energy of formation from the pure elements, eV per atom: -0.150

DFT (PBE) results for SrGdTl2 after structural relaxation.

abc: 3.9155 3.9155 10.2882
angles: 79.03 79.03 60.00
With the nearest neighbours (Å) after each atom.
Fractional positions:
Sr: 0.5000 0.5000 0.5000  6 Tl 3.46
Tl: 0.7463 0.7463 0.7610  3 Gd 3.30, 3 Sr 3.46
Tl: 0.2537 0.2537 0.2390  3 Gd 3.30, 3 Sr 3.46
Gd: 0.0000 0.0000 0.0000  6 Tl 3.30

Results
E_tot, eV/atom: -5.37
ρ, g cm⁻³: 8.14
Total moment, μB/atom: 1.8237
Crystal system: trigonal
Energy of formation from the pure elements, eV per atom: -0.244

DFT (PBE) results for SrGd2Tl after structural relaxation.

abc: 3.7292 3.7292 12.2289
angles: 81.23 81.23 60.00
With the nearest neighbours (Å) after each atom.
Fractional positions:
Sr: 0.0000 0.0000 0.0000  2 Gd 3.57, 6 Sr 3.73
Tl: 0.5000 0.5000 0.5000  6 Gd 3.26
Gd: 0.0990 0.0990 0.7030  3 Tl 3.26, 1 Sr 3.57
Gd: 0.9010 0.9010 0.2970  3 Tl 3.26, 1 Sr 3.57

Results
E_tot, eV/atom: -7.96
Energy above the most stable polymorph in this dataset, meV per atom: 178
ρ, g cm⁻³: 6.95
Total moment, μB/atom: 3.7771
Crystal system: trigonal
Energy of formation from the pure elements, eV per atom: 0.088

DFT (PBE) results for SrGd2Tl after structural relaxation.

abc: 3.7470 3.7470 9.9928
angles: 90.00 90.00 90.00
With the nearest neighbours (Å) after each atom.
Fractional positions:
Sr: 0.5000 0.5000 0.5000  4 Sr 3.75, 8 Gd 4.02
Tl: 0.5000 0.5000 0.0000  8 Gd 3.31
Gd: 0.0000 0.0000 0.8020  4 Tl 3.31
Gd: 0.0000 0.0000 0.1980  4 Tl 3.31

Results
E_tot, eV/atom: -8.14
Energy above the most stable polymorph in this dataset, meV per atom: 4
ρ, g cm⁻³: 7.18
Total moment, μB/atom: 3.9352
Crystal system: tetragonal
Energy of formation from the pure elements, eV per atom: -0.086

DFT (PBE) results for SrGdTlZn after structural relaxation.

abc: 5.4661 5.4661 5.4661
angles: 60.00 60.00 60.00
With the nearest neighbours (Å) after each atom.
Fractional positions:
Sr: 0.2500 0.2500 0.2500  4 Zn 3.35, 4 Tl 3.35
Tl: 0.5000 0.5000 0.5000  4 Sr 3.35, 4 Gd 3.35
Gd: 0.7500 0.7500 0.7500  4 Zn 3.35, 4 Tl 3.35
Zn: 0.0000 0.0000 0.0000  4 Gd 3.35, 4 Sr 3.35

Results
E_tot, eV/atom: -5.13
ρ, g cm⁻³: 7.40
Total moment, μB/atom: 1.7876
Crystal system: cubic
Energy of formation from the pure elements, eV per atom: -0.281

DFT (PBE) results for SrGdTm2 after structural relaxation.

abc: 3.6652 3.6652 10.4551
angles: 90.00 90.00 90.00
With the nearest neighbours (Å) after each atom.
Fractional positions:
Gd: 0.5000 0.5000 0.0000  8 Tm 3.47, 4 Gd 3.67
Sr: 0.5000 0.5000 0.5000  4 Sr 3.67, 8 Tm 3.91
Tm: 0.0000 0.0000 0.7795  4 Gd 3.47, 4 Tm 3.67
Tm: 0.0000 0.0000 0.2205  4 Gd 3.47, 4 Tm 3.67

Results
E_tot, eV/atom: -6.03
Energy above the most stable polymorph in this dataset, meV per atom: 0
ρ, g cm⁻³: 6.89
Total moment, μB/atom: 1.7099
Crystal system: tetragonal
Energy of formation from the pure elements, eV per atom: 0.148

DFT (PBE) results for SrGd2Tm after structural relaxation.

abc: 3.6112 3.6112 12.9111
angles: 81.96 81.96 60.00
With the nearest neighbours (Å) after each atom.
Fractional positions:
Gd: 0.0933 0.0933 0.7200  3 Tm 3.49, 1 Sr 3.57, 6 Gd 3.61
Gd: 0.9067 0.9067 0.2800  3 Tm 3.49, 1 Sr 3.57, 6 Gd 3.61
Sr: 0.0000 0.0000 0.0000  2 Gd 3.57, 6 Sr 3.61
Tm: 0.5000 0.5000 0.5000  6 Gd 3.49, 6 Tm 3.61

Results
E_tot, eV/atom: -8.37
Energy above the most stable polymorph in this dataset, meV per atom: 101
ρ, g cm⁻³: 6.59
Total moment, μB/atom: 3.7112
Crystal system: trigonal
Energy of formation from the pure elements, eV per atom: 0.207

DFT (PBE) results for SrGd2Tm after structural relaxation.

abc: 3.6925 3.6925 10.5279
angles: 90.00 90.00 90.00
With the nearest neighbours (Å) after each atom.
Fractional positions:
Gd: 0.0000 0.0000 0.7822  4 Tm 3.48, 4 Gd 3.69
Gd: 0.0000 0.0000 0.2178  4 Tm 3.48, 4 Gd 3.69
Sr: 0.5000 0.5000 0.5000  4 Sr 3.69, 8 Gd 3.96
Tm: 0.5000 0.5000 0.0000  8 Gd 3.48, 4 Tm 3.69

Results
E_tot, eV/atom: -8.47
Energy above the most stable polymorph in this dataset, meV per atom: 0
ρ, g cm⁻³: 6.61
Total moment, μB/atom: 3.8718
Crystal system: tetragonal
Energy of formation from the pure elements, eV per atom: 0.106

DFT (PBE) results for SrGdTm after structural relaxation.

abc: 3.7178 3.7178 9.2600
angles: 90.00 90.00 120.00
With the nearest neighbours (Å) after each atom.
Fractional positions:
Gd: 0.6667 0.3333 0.3569  3 Tm 3.44, 6 Gd 3.72
Sr: 0.0000 0.0000 0.9954  6 Sr 3.72, 3 Tm 3.87, 3 Gd 3.98
Tm: 0.3333 0.6667 0.6477  3 Gd 3.44, 6 Tm 3.72

Results
E_tot, eV/atom: -6.58
Energy above the most stable polymorph in this dataset, meV per atom: 29
ρ, g cm⁻³: 6.20
Total moment, μB/atom: 2.5547
Crystal system: trigonal
Energy of formation from the pure elements, eV per atom: 0.163

DFT (PBE) results for SrGdTm2 after structural relaxation.

abc: 3.5767 3.5767 12.8489
angles: 82.00 82.00 60.00
With the nearest neighbours (Å) after each atom.
Fractional positions:
Gd: 0.5000 0.5000 0.5000  6 Tm 3.49, 6 Gd 3.58
Sr: 0.0000 0.0000 0.0000  2 Tm 3.53, 6 Sr 3.58
Tm: 0.0928 0.0928 0.7215  3 Gd 3.49, 1 Sr 3.53, 6 Tm 3.58
Tm: 0.9072 0.9072 0.2785  3 Gd 3.49, 1 Sr 3.53, 6 Tm 3.58

Results
E_tot, eV/atom: -5.92
Energy above the most stable polymorph in this dataset, meV per atom: 105
ρ, g cm⁻³: 6.89
Total moment, μB/atom: 1.7659
Crystal system: trigonal
Energy of formation from the pure elements, eV per atom: 0.253

DFT (PBE) results for SrGdTm after structural relaxation.

abc: 3.7538 3.7538 8.3541
angles: 102.98 102.98 90.00
With the nearest neighbours (Å) after each atom.
Fractional positions:
Gd: 0.3168 0.3168 0.6336  4 Tm 3.42, 4 Gd 3.75
Sr: 0.0025 0.0025 0.0049  4 Sr 3.75, 4 Tm 3.88, 4 Gd 3.96
Tm: 0.6807 0.6807 0.3615  4 Gd 3.42, 4 Tm 3.75

Results
E_tot, eV/atom: -6.61
Energy above the most stable polymorph in this dataset, meV per atom: 0
ρ, g cm⁻³: 6.16
Total moment, μB/atom: 2.5587
Crystal system: tetragonal
Energy of formation from the pure elements, eV per atom: 0.135

DFT (PBE) results for SrGd2Y after structural relaxation.

abc: 3.6350 3.6350 12.9906
angles: 81.96 81.96 60.00
With the nearest neighbours (Å) after each atom.
Fractional positions:
Y: 0.5000 0.5000 0.5000  6 Gd 3.54, 6 Y 3.63
Sr: 0.0000 0.0000 0.0000  2 Gd 3.56, 6 Sr 3.63
Gd: 0.0925 0.0925 0.7225  3 Y 3.54, 1 Sr 3.56, 6 Gd 3.63
Gd: 0.9075 0.9075 0.2775  3 Y 3.54, 1 Sr 3.56, 6 Gd 3.63

Results
E_tot, eV/atom: -8.88
Energy above the most stable polymorph in this dataset, meV per atom: 93
ρ, g cm⁻³: 5.56
Total moment, μB/atom: 3.7238
Crystal system: trigonal
Energy of formation from the pure elements, eV per atom: 0.200

DFT (PBE) results for SrGd2Y after structural relaxation.

abc: 5.2636 5.2441 5.2441
angles: 90.00 90.00 90.00
With the nearest neighbours (Å) after each atom.
Fractional positions:
Y: 0.5000 0.5000 0.5000  4 Sr 3.71, 8 Gd 3.72
Sr: 0.5000 0.0000 0.0000  4 Y 3.71, 8 Gd 3.72
Gd: 0.0000 0.0000 0.5000  4 Gd 3.71, 4 Sr 3.72, 4 Y 3.72
Gd: 0.0000 0.5000 0.0000  4 Gd 3.71, 4 Sr 3.72, 4 Y 3.72

Results
E_tot, eV/atom: -8.89
Energy above the most stable polymorph in this dataset, meV per atom: 83
ρ, g cm⁻³: 5.63
Total moment, μB/atom: 3.9837
Crystal system: tetragonal
Energy of formation from the pure elements, eV per atom: 0.191

DFT (PBE) results for SrGd2Y after structural relaxation.

abc: 3.6984 3.6984 10.6727
angles: 90.00 90.00 90.00
With the nearest neighbours (Å) after each atom.
Fractional positions:
Y: 0.5000 0.5000 0.0000  8 Gd 3.53, 4 Y 3.70
Sr: 0.5000 0.5000 0.5000  4 Sr 3.70, 8 Gd 3.95
Gd: 0.0000 0.0000 0.7777  4 Y 3.53, 4 Gd 3.70, 4 Sr 3.95
Gd: 0.0000 0.0000 0.2223  4 Y 3.53, 4 Gd 3.70, 4 Sr 3.95

Results
E_tot, eV/atom: -8.97
Energy above the most stable polymorph in this dataset, meV per atom: 0
ρ, g cm⁻³: 5.59
Total moment, μB/atom: 3.8492
Crystal system: tetragonal
Energy of formation from the pure elements, eV per atom: 0.107

DFT (PBE) results for SrGdZn after structural relaxation.

abc: 3.7490 3.7490 7.2273
angles: 105.03 105.03 90.00
With the nearest neighbours (Å) after each atom.
Fractional positions:
Sr: 0.0231 0.0231 0.0463  4 Zn 3.41, 1 Gd 3.65, 4 Sr 3.75
Zn: 0.6825 0.6825 0.3649  4 Gd 3.05, 4 Sr 3.41
Gd: 0.2944 0.2944 0.5888  4 Zn 3.05

Results
E_tot, eV/atom: -5.81
ρ, g cm⁻³: 5.45
Total moment, μB/atom: 2.5526
Crystal system: tetragonal
Energy of formation from the pure elements, eV per atom: -0.130